Entry a
Computed, not measured: a relaxed Cd2CoPO crystal at the GGA+U level of DFT.

abc: 5.3516 5.3516 3.3911
angles: 90.00 90.00 90.00
With the nearest neighbours (Å) after each atom.
Space group P4/mmm (No. 123)
One atom of each set of equivalent atoms:
Cd  0.0000  0.5000  0.0000  2 P 2.68
Co  0.0000  0.0000  0.5000  8 Cd 3.17, 2 Co 3.39
P  0.5000  0.5000  0.0000  2 O 1.70
O  0.5000  0.5000  0.5000  2 P 1.70

- Total magnetic moment: 2.34 μB/f.u.

***

Entry b
Computed, not measured: a relaxed Cd2CoPO crystal at the GGA+U level of DFT.

abc: 4.8810 4.8810 3.7013
angles: 90.00 90.00 90.00
With the nearest neighbours (Å) after each atom.
Space group P4/mmm (No. 123)
One atom of each set of equivalent atoms:
Cd  0.0000  0.5000  0.0000  2 O 2.44
Co  0.0000  0.0000  0.5000  2 O 1.85
P  0.5000  0.5000  0.5000  8 Cd 3.06
O  0.0000  0.0000  0.0000  2 Co 1.85

- Total magnetic moment: 2.06 μB/f.u.

***

The structure with the least stability is entry a.